Entry from the Alexandria database: a geometry-optimized Tc2OsAu structure (GGA-PBE).

Output
relative energy among the computed polymorphs: 62 meV/atom
crystal system: tetragonal
ρ: 15.75 g/cm3
symmetry: P4mm, No. 99

Cell and atoms, written as POSCAR:
```
Tc2OsAu
1.0
2.765 0.000 0.000
0.000 2.765 0.000
0.000 0.000 8.040
Tc Os Au
2 1 1
Cartesian
0.000 0.000 0.000
1.383 1.383 1.988
1.383 1.383 6.290
0.000 0.000 4.101
```

Entry from the Alexandria database: a geometry-optimized Tc2OsAu structure (GGA-PBE).

Output
relative energy among the computed polymorphs: 257 meV/atom
crystal system: orthorhombic
ρ: 15.47 g/cm3
symmetry: Cmmm, No. 65

Cell and atoms, written as POSCAR:
```
Tc2OsAu
1.0
2.849 0.000 0.000
0.000 4.585 0.000
0.000 0.000 9.587
Tc Os Au
4 2 2
Cartesian
0.000 0.000 2.248
0.000 0.000 7.340
1.424 2.292 2.248
1.424 2.292 7.340
0.000 2.292 0.000
1.424 0.000 0.000
0.000 2.292 4.794
1.424 0.000 4.794
```

Entry from the Alexandria database: a geometry-optimized TcOsAu2 structure (GGA-PBE).

Output
relative energy among the computed polymorphs: 141 meV/atom
crystal system: monoclinic
ρ: 17.52 g/cm3
symmetry: Pm, No. 6

Cell and atoms, written as POSCAR:
```
TcOsAu2
1.0
2.857 0.000 0.000
0.000 3.855 0.000
-0.014 0.000 5.869
Tc Os Au
1 1 2
Cartesian
0.000 0.000 0.000
1.433 1.928 1.125
-0.002 0.000 2.737
1.422 1.928 4.264
```

Calculated Fermi-level density of states in order - 1.0606 0.8375 0.8905 states/eV/atom